w.
Li4Pt3: relaxed, PBE-GGA.

Properties
Space-group type: No. 139
M_tot (μB/f.u.): 0.0
N(E_F) (states/eV/cell): 1.90
ρ (Mg/m³): 10.777

Cell lengths 10.8595, 10.8595, 10.8595 Å; angles 164.24, 164.24, 22.36 degrees
With the nearest neighbours (Å) after each atom.
Fractional coordinates of all 7 atoms:
Li 0.0685 0.0685 0.0000  4 Pt 2.56, 4 Li 2.60
Li 0.3597 0.3597 0.0000  4 Pt 2.51, 4 Li 2.60
Li 0.6403 0.6403 0.0000  4 Pt 2.51, 4 Li 2.60
Li 0.9315 0.9315 0.0000  4 Pt 2.56, 4 Li 2.60
Pt 0.2049 0.2049 0.0000  4 Li 2.51
Pt 0.5000 0.5000 0.0000  8 Li 2.56
Pt 0.7951 0.7951 0.0000  4 Li 2.51


x.
Li4Pt3: relaxed, PBE-GGA.

Properties
Space-group type: No. 191
M_tot (μB/f.u.): 0.0
N(E_F) (states/eV/cell): 5.06
ρ (Mg/m³): 9.235

Cell lengths 5.2799, 5.2799, 4.5658 Å; angles 90.00, 90.00, 120.00 degrees
With the nearest neighbours (Å) after each atom.
Fractional coordinates of all 7 atoms:
Li 0.0000 0.0000 0.2318  1 Li 2.12
Li 0.0000 0.0000 0.7682  1 Li 2.12
Li 0.3333 0.6667 0.5000  6 Pt 2.74, 3 Li 3.05
Li 0.6667 0.3333 0.5000  6 Pt 2.74, 3 Li 3.05
Pt 0.0000 0.5000 0.0000  4 Pt 2.64, 8 Li 2.74-2.84
Pt 0.5000 0.0000 0.0000  4 Pt 2.64, 8 Li 2.74-2.84
Pt 0.5000 0.5000 0.0000  4 Pt 2.64, 8 Li 2.74-2.84


Quick one: least stable of them? w


w.
LiPu3Pt4: relaxed, PBE-GGA.

Properties
Space-group type: No. 71
M_tot (μB/f.u.): 16.6
N(E_F) (states/eV/cell): 23.15
ρ (Mg/m³): 15.443

Cell lengths 8.4845, 8.4845, 8.4845 Å; angles 160.51, 126.41, 57.57 degrees
With the nearest neighbours (Å) after each atom.
Fractional coordinates of all 8 atoms:
Li 0.0000 0.0000 0.0000  4 Pt 2.58, 2 Li 2.87
Pu 0.2420 0.7420 0.5000  6 Pt 2.84-2.99, 2 Pu 2.87
Pu 0.5000 0.5000 0.0000  2 Pu 2.87, 8 Pt 3.00
Pu 0.7580 0.2580 0.5000  6 Pt 2.84-2.99, 2 Pu 2.87
Pt 0.1261 0.8809 0.2452  1 Li 2.58, 1 Pu 2.84, 2 Pt 2.87
Pt 0.3643 0.1191 0.2452  1 Li 2.58, 1 Pu 2.84, 2 Pt 2.87
Pt 0.6357 0.8809 0.7548  1 Li 2.58, 1 Pu 2.84, 2 Pt 2.87
Pt 0.8739 0.1191 0.7548  1 Li 2.58, 1 Pu 2.84, 2 Pt 2.87


x.
LiPu3Pt4: relaxed, PBE-GGA.

Properties
Space-group type: No. 47
M_tot (μB/f.u.): 15.7
N(E_F) (states/eV/cell): 28.35
ρ (Mg/m³): 15.891

Cell lengths 3.5787, 4.6636, 9.5122 Å; angles 90.00, 90.00, 90.00 degrees
With the nearest neighbours (Å) after each atom.
Fractional coordinates of all 8 atoms:
Li 0.0000 0.0000 0.0000  8 Pt 2.71-2.94
Pu 0.0000 0.0000 0.5000  8 Pt 2.94-3.25
Pu 0.0000 0.5000 0.2406  8 Pt 2.90-3.05
Pu 0.0000 0.5000 0.7594  8 Pt 2.90-3.05
Pt 0.5000 0.0000 0.2142  2 Li 2.71, 4 Pu 2.95
Pt 0.5000 0.0000 0.7858  2 Li 2.71, 4 Pu 2.95
Pt 0.5000 0.5000 0.0000  4 Pu 2.90, 4 Li 2.94, 4 Pt 3.10
Pt 0.5000 0.5000 0.5000  8 Pu 2.94-3.05


Quick one: least stable of them? w


w.
Li2PuPt2: relaxed, PBE-GGA.

Properties
Space-group type: No. 109
M_tot (μB/f.u.): 5.8
N(E_F) (states/eV/cell): 29.65
ρ (Mg/m³): 11.660

Cell lengths 6.7314, 6.7314, 6.7314 Å; angles 127.86, 127.86, 76.85 degrees
With the nearest neighbours (Å) after each atom.
Fractional coordinates of all 10 atoms:
Li 0.2020 0.0000 0.2020  1 Li 2.39, 3 Pt 2.42-2.43
Li 0.7500 0.0480 0.2980  1 Li 2.39, 3 Pt 2.42-2.43
Li 0.7500 0.4520 0.7020  1 Li 2.39, 3 Pt 2.42-2.43
Li 0.7980 0.0000 0.7980  1 Li 2.39, 3 Pt 2.42-2.43
Pu 0.0374 0.5374 0.5000  2 Pt 2.82
Pu 0.2874 0.2874 0.0000  2 Pt 2.82
Pt 0.0492 0.7730 0.2762  3 Li 2.42-2.43, 1 Pt 2.65
Pt 0.4968 0.7730 0.7238  3 Li 2.42-2.43, 1 Pt 2.65
Pt 0.5230 0.2992 0.7762  3 Li 2.42-2.43, 1 Pt 2.65
Pt 0.5230 0.7468 0.2238  3 Li 2.42-2.43, 1 Pt 2.65


x.
Li2PuPt2: relaxed, PBE-GGA.

Properties
Space-group type: No. 127
M_tot (μB/f.u.): 6.0
N(E_F) (states/eV/cell): 17.61
ρ (Mg/m³): 13.191

Cell lengths 7.6118, 7.6118, 2.8160 Å; angles 90.00, 90.00, 90.00 degrees
With the nearest neighbours (Å) after each atom.
Fractional coordinates of all 10 atoms:
Li 0.1099 0.3901 0.0000  1 Li 2.37, 2 Pt 2.62
Li 0.3901 0.8901 0.0000  1 Li 2.37, 2 Pt 2.62
Li 0.6099 0.1099 0.0000  1 Li 2.37, 2 Pt 2.62
Li 0.8901 0.6099 0.0000  1 Li 2.37, 2 Pt 2.62
Pu 0.0000 0.0000 0.0000  2 Pu 2.82, 4 Li 3.09, 8 Pt 3.12
Pu 0.5000 0.5000 0.0000  2 Pu 2.82, 4 Li 3.09, 8 Pt 3.12
Pt 0.1853 0.6853 0.5000  6 Li 2.62-2.71, 2 Pt 2.82
Pt 0.3147 0.1853 0.5000  6 Li 2.62-2.71, 2 Pt 2.82
Pt 0.6853 0.8147 0.5000  6 Li 2.62-2.71, 2 Pt 2.82
Pt 0.8147 0.3147 0.5000  6 Li 2.62-2.71, 2 Pt 2.82


Quick one: least stable of them? w